The following is a DFT calculation (PBE-GGA) of an optimized crystal structure of Zn2Ir3Rh8.

Geometry as extended XYZ:
```
13
Lattice="3.9794 0.4066 0.1517 -0.5788 7.1842 -4.0733 1.1193 -0.5891 7.2152" Properties=species:S:1:pos:R:3 pbc="T T T"
Zn 2.7277 5.0449 0.0969
Zn 1.7922 1.9568 3.1966
Ir 1.9897 0.2033 0.0758
Ir -0.1288 1.5982 -0.9062
Ir -0.4500 5.5860 -3.1672
Rh 3.8239 2.9402 4.6423
Rh 0.6961 4.0615 -1.3488
Rh 0.7119 5.6707 1.4870
Rh 3.8081 1.3310 1.8064
Rh 1.3434 6.6119 -1.4411
Rh 1.6529 2.7706 0.7368
Rh 2.8670 4.2311 2.5566
Rh 3.1765 0.3898 4.7346
```

Properties
ΔE_f = 0.187 eV per atom
calculated total energy = -85.5 eV per cell
space-group type = C2/m

***

The following is a DFT calculation (PBE-GGA) of an optimized crystal structure of Lu2PO.

Geometry as extended XYZ:
```
4
Lattice="-2.5236 -0.4279 -3.1945 -2.0243 -3.5147 -0.5527 -6.6384 1.0495 2.4808" Properties=species:S:1:pos:R:3 pbc="T T T"
P -5.5931 -1.4466 -0.6332
Lu -5.1342 0.3554 1.3856
Lu -6.0520 -3.2486 -2.6520
O 0.0000 0.0000 0.0000
```

Properties
calculated total energy = -27.0 eV per cell
space-group type = R-3m

***

The following is a DFT calculation (PBE-GGA) of an optimized crystal structure of Zn4Au.

Geometry as extended XYZ:
```
5
Lattice="4.9668 0.0000 0.0000 0.0000 4.9668 0.0000 0.0000 0.0000 4.9668" Properties=species:S:1:pos:R:3 pbc="T T T"
Zn 0.0000 0.0000 0.0000
Zn 2.4834 0.0000 2.4834
Zn 0.0000 2.4834 2.4834
Zn 2.4834 2.4834 0.0000
Au 2.4834 2.4834 2.4834
```

Properties
ΔE_f = 0.241 eV per atom
calculated total energy = -7.2 eV per cell
space-group type = Pm-3m
offset from the most stable computed form = 337 meV/atom

***

The following is a DFT calculation (PBE-GGA) of an optimized crystal structure of SmPd2Au2.

Geometry as extended XYZ:
```
20
Lattice="4.1299 0.0000 0.0000 0.0000 6.1181 0.0000 0.0000 0.0000 15.0366" Properties=species:S:1:pos:R:3 pbc="T T T"
Sm 3.0974 0.8385 9.5924
Sm 1.0325 2.2206 2.0741
Sm 1.0325 5.2796 5.4442
Sm 3.0974 3.8975 12.9625
Pd 3.0974 3.7521 6.7686
Pd 1.0325 5.4251 14.2869
Pd 1.0325 2.3660 8.2680
Pd 3.0974 0.6930 0.7497
Pd 3.0974 0.8272 6.7368
Pd 1.0325 2.2318 14.2551
Pd 1.0325 5.2909 8.2998
Pd 3.0974 3.8863 0.7815
Au 3.0974 0.8458 12.8384
Au 1.0325 2.2132 5.3201
Au 1.0325 5.2723 2.1982
Au 3.0974 3.9049 9.7165
Au 3.0974 0.6530 3.7164
Au 1.0325 2.4061 11.2347
Au 1.0325 5.4651 11.3201
Au 3.0974 3.7120 3.8018
```

Properties
ΔE_f = -0.571 eV per atom
calculated total energy = -98.1 eV per cell
space-group type = Pnma
offset from the most stable computed form = 38 meV/atom

***

The following is a DFT calculation (PBE-GGA) of an optimized crystal structure of RbAlSnCl6.

Geometry as extended XYZ:
```
9
Lattice="6.9601 0.0000 0.0001 3.4801 6.0274 0.0003 0.0002 0.0000 7.0377" Properties=species:S:1:pos:R:3 pbc="T T T"
Rb 6.9602 0.0000 7.0377
Al 3.4801 2.0091 3.5189
Sn 6.9600 4.0183 3.5190
Cl 1.5716 2.0663 2.1354
Cl 2.5755 0.3280 4.9023
Cl 5.3884 2.0664 4.9024
Cl 2.4764 3.6332 4.9025
Cl 4.4836 3.6331 2.1355
Cl 4.3846 0.3279 2.1354
```

Properties
calculated total energy = -32.9 eV per cell
space-group type = P312

***

The following is a DFT calculation (PBE-GGA) of an optimized crystal structure of SrTc3Ge3.

Geometry as extended XYZ:
```
14
Lattice="4.3606 -7.5527 0.0000 4.3606 7.5527 0.0000 0.0000 0.0000 4.4490" Properties=species:S:1:pos:R:3 pbc="T T T"
Sr 4.3606 2.5176 3.3368
Sr 4.3606 -2.5176 1.1123
Tc 7.6695 1.1561 3.3368
Tc 1.5270 0.3327 3.3368
Tc 3.8852 6.0639 3.3368
Tc 1.0516 -1.1561 1.1123
Tc 7.1941 -0.3327 1.1123
Tc 4.8360 -6.0639 1.1123
Ge 5.2916 -4.7155 3.3368
Ge 1.9916 -2.2249 3.3368
Ge 5.7985 -0.6123 3.3368
Ge 3.4296 4.7155 1.1123
Ge 6.7295 2.2249 1.1123
Ge 2.9226 0.6123 1.1123
```

Properties
ΔE_f = -0.136 eV per atom
calculated total energy = -95.2 eV per cell
space-group type = P6_3/m

***

The following is a DFT calculation (PBE-GGA) of an optimized crystal structure of TmSc2Ag.

Geometry as extended XYZ:
```
16
Lattice="-5.1920 -3.2932 0.4279 1.8270 -3.5139 -4.8746 4.5060 -6.2950 6.2266" Properties=species:S:1:pos:R:3 pbc="T T T"
Tm -1.0959 -5.2394 -0.5410
Tm -1.7615 -7.9979 -2.8482
Tm 2.2368 -7.8626 2.3210
Tm 2.9024 -5.1041 4.6281
Sc 0.4203 -3.2051 -3.0430
Sc 0.8116 -4.6179 2.1683
Sc -1.2472 -7.1477 2.1036
Sc 2.2972 -11.2333 2.3310
Sc 0.7206 -9.8969 4.8229
Sc 0.3293 -8.4841 -0.3883
Sc 2.3881 -5.9543 -0.3237
Sc -1.1563 -1.8688 -0.5510
Ag 1.5146 -3.2720 -0.4412
Ag 0.5764 -6.2035 -2.7259
Ag -0.3737 -9.8300 2.2211
Ag 0.5645 -6.8986 4.5058
```

Properties
ΔE_f = -0.107 eV per atom
calculated total energy = -81.7 eV per cell
space-group type = Pnma
offset from the most stable computed form = 0 meV/atom

***

The following is a DFT calculation (PBE-GGA) of an optimized crystal structure of Rb2Hg6Pb.

Geometry as extended XYZ:
```
9
Lattice="3.8060 -0.0003 0.0008 0.0006 8.1868 4.7080 -0.0010 0.0167 9.4440" Properties=species:S:1:pos:R:3 pbc="T T T"
Rb -0.0001 2.7339 4.7163
Rb 3.8057 5.4693 9.4365
Hg 1.9013 5.5414 3.1879
Hg 1.9054 8.1914 7.7595
Hg 1.9043 2.6618 10.9649
Hg 1.9031 5.5456 6.2393
Hg 1.9002 0.0118 6.3932
Hg 1.9025 2.6576 7.9134
Pb 0.0000 0.0000 0.0000
```

Properties
ΔE_f = -0.152 eV per atom
calculated total energy = -8.8 eV per cell
space-group type = P6/mmm